Entry 1:
Below is an optimized crystal structure of CsInBrCl, with properties calculated at the PBE level.

Summary:
Density = 4.283 g/cm3
Magnetization = 0.000 μB per atom
Symmetry = F-43m
Uncorrected formation energy = -1.22 eV/atom

Cell and atoms, written as POSCAR:
```
CsInBrCl
1.0
8.258 0.000 0.000
0.000 8.258 0.000
0.000 0.000 8.258
Cs In Br Cl
4 4 4 4
Cartesian
0.000 0.000 0.000
0.000 4.129 4.129
4.129 0.000 4.129
4.129 4.129 0.000
0.000 0.000 4.129
0.000 4.129 0.000
4.129 0.000 0.000
4.129 4.129 4.129
2.064 2.064 6.193
2.064 6.193 2.064
6.193 2.064 2.064
6.193 6.193 6.193
2.064 2.064 2.064
2.064 6.193 6.193
6.193 2.064 6.193
6.193 6.193 2.064
```

Entry 2:
Below is an optimized crystal structure of CsInBrCl, with properties calculated at the PBE level.

Summary:
Density = 3.685 g/cm3
Magnetization = 0.000 μB per atom
Symmetry = Cm
Uncorrected formation energy = -1.27 eV/atom

Cell and atoms, written as POSCAR:
```
CsInBrCl
1.0
8.258 0.000 0.000
0.000 4.774 0.000
-2.753 0.000 8.301
Cs In Br Cl
2 2 2 2
Cartesian
0.000 0.000 0.000
4.129 2.387 0.000
-0.007 0.000 4.024
4.122 2.387 4.024
-1.379 2.387 5.913
2.750 0.000 5.913
1.374 2.387 2.132
5.503 0.000 2.132
```

Entry 3:
Below is an optimized crystal structure of Cs2IrBrCl5, with properties calculated at the PBE level.

Summary:
Density = 3.955 g/cm3
Magnetization = 0.119 μB per atom
Symmetry = I4mm
Uncorrected formation energy = -1.18 eV/atom

Cell and atoms, written as POSCAR:
```
Cs2IrBrCl5
1.0
-3.795 3.795 5.213
3.795 -3.795 5.213
3.795 3.795 -5.213
Cs Ir Br Cl
2 1 1 5
Cartesian
3.795 0.000 0.000
0.000 3.795 0.000
0.000 0.000 2.612
0.000 0.000 5.105
0.000 0.000 0.256
2.132 2.132 -2.606
1.663 -1.663 2.607
-1.663 1.663 2.607
1.663 1.663 2.607
```

Entry 4:
Below is an optimized crystal structure of Cs2IrBr4Cl2, with properties calculated at the PBE level.

Summary:
Density = 4.405 g/cm3
Magnetization = 0.120 μB per atom
Symmetry = I4/mmm
Uncorrected formation energy = -1.06 eV/atom

Cell and atoms, written as POSCAR:
```
Cs2IrBr4Cl2
1.0
-3.794 3.794 5.556
3.794 -3.794 5.556
3.794 3.794 -5.556
Cs Ir Br Cl
2 1 4 2
Cartesian
3.794 0.000 2.778
0.000 3.794 2.778
0.000 0.000 0.000
1.770 1.770 0.000
2.023 -2.023 5.556
-2.023 2.023 5.556
2.023 2.023 5.556
0.000 0.000 2.356
0.000 0.000 8.757
```

Entry 5:
Below is an optimized crystal structure of Cs2IrBr5Cl, with properties calculated at the PBE level.

Summary:
Density = 4.548 g/cm3
Magnetization = 0.121 μB per atom
Symmetry = I4mm
Uncorrected formation energy = -1.02 eV/atom

Cell and atoms, written as POSCAR:
```
Cs2IrBr5Cl
1.0
-3.843 3.843 5.520
3.843 -3.843 5.520
3.843 3.843 -5.520
Cs Ir Br Cl
2 1 5 1
Cartesian
3.843 0.000 0.000
0.000 3.843 0.000
0.000 0.000 2.761
2.071 2.071 -2.753
1.772 -1.772 2.767
0.000 0.000 0.261
-1.772 1.772 2.767
1.772 1.772 2.767
0.000 0.000 5.122
```

Entry 6:
Below is an optimized crystal structure of Cs2KBrCl, with properties calculated at the PBE level.

Summary:
Density = 2.437 g/cm3
Magnetization = 0.000 μB per atom
Symmetry = P4/mmm
Uncorrected formation energy = -1.25 eV/atom

Cell and atoms, written as POSCAR:
```
Cs2KBrCl
1.0
6.896 0.000 0.000
0.000 6.896 0.000
0.000 0.000 6.022
Cs K Br Cl
2 1 1 1
Cartesian
0.000 3.448 0.000
3.448 0.000 0.000
0.000 0.000 3.011
3.448 3.448 3.011
0.000 0.000 0.000
```